{"formula": "VAs2HSe", "functional": "GGA-PBE", "state": "relaxed", "space_group": "P4/mmm", "vol_a3_per_fu": 107.3, "e_above_lowest_polymorph_ev_per_atom": 0.000, "lattice": [[-1.702, -3.177, 3.078], [4.352, -0.614, 1.773], [-0.796, 3.489, 3.161]], "species": ["Se", "As", "H", "As", "V"], "fractional_positions": [[0.000, 0.000, 0.500], [0.000, 0.500, 0.000], [0.500, 0.500, 0.500], [0.500, 0.000, 0.000], [0.000, 0.000, 0.000]]}

---

{"formula": "VAsHSe2", "functional": "GGA-PBE", "state": "relaxed", "space_group": "P4/mmm", "vol_a3_per_fu": 109.7, "e_above_lowest_polymorph_ev_per_atom": 0.000, "lattice": [[4.783, 0.000, 0.000], [0.000, 4.783, 0.000], [0.000, 0.000, 4.797]], "species": ["H", "Se", "As", "V", "Se"], "fractional_positions": [[0.500, 0.500, 0.500], [0.500, 0.000, 0.000], [0.000, 0.000, 0.500], [0.000, 0.000, 0.000], [0.000, 0.500, 0.000]]}